A geometry-optimized TlReHg2F6 structure, computed with PBE.

The total DFT energy (no corrections) is -0.159 hartree per atom. The formation energy without anion corrections is -159.4 kJ per mole of atoms.

It has space group Pmmn (No. 59, origin choice 2), with a = 6.079 Å, b = 9.296 Å, c = 7.925 Å, α = 90.00°, β = 90.00° and γ = 90.00°. Symmetry generates all atoms from Tl at (0.250, 0.250, 0.203), Re at (0.250, 0.750, 0.347), Hg at (0.250, 0.548, 0.863), F at (0.026, 0.750, 0.176), F at (0.027, 0.750, 0.519) and F at (0.250, 0.543, 0.345).

A geometry-optimized RbGe2Pt3 structure, computed with PBE.

The total DFT energy (no corrections) is -0.188 hartree per atom.

It has space group C2/m (No. 12), with a = 15.127 Å, b = 4.208 Å, c = 8.515 Å, α = 90.00°, β = 111.84° and γ = 90.00°. Symmetry generates all atoms from Rb at (0.170, 0.000, 0.065), Ge at (0.022, 0.500, 0.173), Ge at (0.167, 0.000, 0.620), Pt at (0.036, 0.000, 0.331), Pt at (0.090, 0.500, 0.667) and Pt at (0.180, 0.500, 0.428).

A geometry-optimized ScIBr3 structure, computed with PBE.

The total DFT energy (no corrections) is -0.108 hartree per atom. The formation energy without anion corrections is -35.7 kJ per mole of atoms.

It has space group I-4m2 (No. 119), with a = 5.154 Å, b = 5.154 Å, c = 35.012 Å, α = 90.00°, β = 90.00° and γ = 90.00°. Symmetry generates all atoms from Sc at (0.000, 0.000, 0.118), I at (0.000, 0.000, 0.500), I at (0.000, 0.500, 0.250), Br at (0.000, 0.249, 0.357) and Br at (0.000, 0.500, 0.586).

A geometry-optimized AlAs2Ru structure, computed with PBE.

The total DFT energy (no corrections) is -0.205 hartree per atom.

It has space group I-42d (No. 122), with a = 5.719 Å, b = 5.719 Å, c = 10.941 Å, α = 90.00°, β = 90.00° and γ = 90.00°. Symmetry generates all atoms from Al at (0.000, 0.000, 0.000), As at (0.232, 0.250, 0.625) and Ru at (0.000, 0.000, 0.500).